# Ca4BeRu | Alexandria | PBE | relaxed
# Energy of formation from the pure elements ... 1.130 eV per atom
# Density of states at the Fermi level ... 8.223 states/eV/cell
# SG ... F-43m
# Calculated density ... 2.8 g/cm3
data_Ca4BeRu
_cell_length_a 6.0770
_cell_length_b 6.0770
_cell_length_c 6.0770
_cell_angle_alpha 60.00
_cell_angle_beta 60.00
_cell_angle_gamma 60.00
_symmetry_space_group_name_H-M 'P 1'
_symmetry_Int_Tables_number 1
_symmetry_space_group_name_Hall 'P 1'
loop_
_atom_site_label
_atom_site_fract_x
_atom_site_fract_y
_atom_site_fract_z
Ca1 0.8725 0.3758 0.3758
Ca2 0.3758 0.3758 0.8725
Ca3 0.3758 0.8725 0.3758
Ca4 0.3758 0.3758 0.3758
Be1 0.0000 0.0000 0.0000
Ru1 0.7500 0.7500 0.7500



# DyMg2V3S8 | Alexandria | PBE | relaxed
# Calculated total energy ... -6.048 eV/atom
# Density of states at the Fermi level ... 14.705 states/eV/cell
# SG ... R-3m
# Calculated density ... 3.6 g/cm3
data_DyMg2V3S8
_cell_length_a 7.4565
_cell_length_b 7.4565
_cell_length_c 7.4565
_cell_angle_alpha 59.08
_cell_angle_beta 59.08
_cell_angle_gamma 59.08
_symmetry_space_group_name_H-M 'P 1'
_symmetry_Int_Tables_number 1
_symmetry_space_group_name_Hall 'P 1'
loop_
_atom_site_label
_atom_site_fract_x
_atom_site_fract_y
_atom_site_fract_z
S1 0.2450 0.2450 0.7231
S2 0.7231 0.2450 0.2450
S3 0.7550 0.7550 0.2769
S4 0.2450 0.7231 0.2450
S5 0.7381 0.7381 0.7381
S6 0.7550 0.2769 0.7550
S7 0.2769 0.7550 0.7550
S8 0.2619 0.2619 0.2619
V1 0.5000 0.5000 0.0000
V2 0.0000 0.5000 0.5000
V3 0.5000 0.0000 0.5000
Dy1 0.5000 0.5000 0.5000
Mg1 0.1266 0.1266 0.1266
Mg2 0.8734 0.8734 0.8734



# LaPmTmSc | Alexandria | PBE | relaxed
# Energy above the most stable polymorph in this dataset ... 0 kJ/mol of formula units
# Energy of formation from the pure elements ... 0.083 eV per atom
# Density of states at the Fermi level ... 6.386 states/eV/cell
# SG ... F-43m
# Calculated density ... 6.5 g/cm3
data_LaPmTmSc
_cell_length_a 5.6305
_cell_length_b 5.6305
_cell_length_c 5.6305
_cell_angle_alpha 60.00
_cell_angle_beta 60.00
_cell_angle_gamma 60.00
_symmetry_space_group_name_H-M 'P 1'
_symmetry_Int_Tables_number 1
_symmetry_space_group_name_Hall 'P 1'
loop_
_atom_site_label
_atom_site_fract_x
_atom_site_fract_y
_atom_site_fract_z
La1 0.2500 0.2500 0.2500
Sc1 0.0000 0.0000 0.0000
Pm1 0.7500 0.7500 0.7500
Tm1 0.5000 0.5000 0.5000



# CeDy4TmS8 | Alexandria | PBE | relaxed
# Calculated total energy ... -6.330 eV/atom
# Density of states at the Fermi level ... 12.431 states/eV/cell
# SG ... R3m
# Calculated density ... 5.4 g/cm3
data_CeDy4TmS8
_cell_length_a 8.0984
_cell_length_b 8.0984
_cell_length_c 8.0757
_cell_angle_alpha 59.91
_cell_angle_beta 59.91
_cell_angle_gamma 60.00
_symmetry_space_group_name_H-M 'P 1'
_symmetry_Int_Tables_number 1
_symmetry_space_group_name_Hall 'P 1'
loop_
_atom_site_label
_atom_site_fract_x
_atom_site_fract_y
_atom_site_fract_z
S1 0.7600 0.2265 0.2534
S2 0.7864 0.2359 0.7418
S3 0.2265 0.7600 0.2534
S4 0.2386 0.2386 0.2842
S5 0.7600 0.7600 0.2534
S6 0.2359 0.7864 0.7418
S7 0.7567 0.7567 0.7298
S8 0.2359 0.2359 0.7418
Dy1 0.6243 0.6243 0.1270
Dy2 0.9998 0.5004 0.5001
Dy3 0.5004 0.9998 0.5001
Dy4 0.9998 0.9998 0.5001
Tm1 0.0000 0.0000 0.9999
Ce1 0.3756 0.3756 0.8732



# AcGeF | Alexandria | PBE | relaxed
# Energy above the most stable polymorph in this dataset ... 134 kJ/mol of formula units
# Density of states at the Fermi level ... 2.229 states/eV/cell
# SG ... P-6m2
# Calculated density ... 6.7 g/cm3
data_AcGeF
_cell_length_a 5.0214
_cell_length_b 4.2495
_cell_length_c 4.2495
_cell_angle_alpha 120.00
_cell_angle_beta 90.00
_cell_angle_gamma 90.00
_symmetry_space_group_name_H-M 'P 1'
_symmetry_Int_Tables_number 1
_symmetry_space_group_name_Hall 'P 1'
loop_
_atom_site_label
_atom_site_fract_x
_atom_site_fract_y
_atom_site_fract_z
Ge1 0.6666 0.3333 0.6667
Ac1 0.1666 0.6667 0.3333
F1 0.1667 0.0000 0.0000



# Er4PbAu5 | Alexandria | PBE | relaxed
# Energy of formation from the pure elements ... -0.767 eV per atom
# Density of states at the Fermi level ... 5.220 states/eV/cell
# SG ... P4/mmm
# Calculated density ... 13.4 g/cm3
data_Er4PbAu5
_cell_length_a 3.5942
_cell_length_b 3.5942
_cell_length_c 17.7896
_cell_angle_alpha 90.00
_cell_angle_beta 90.00
_cell_angle_gamma 90.00
_symmetry_space_group_name_H-M 'P 1'
_symmetry_Int_Tables_number 1
_symmetry_space_group_name_Hall 'P 1'
loop_
_atom_site_label
_atom_site_fract_x
_atom_site_fract_y
_atom_site_fract_z
Er1 0.0000 0.0000 0.1991
Er2 0.0000 0.0000 0.3995
Er3 0.0000 0.0000 0.8009
Er4 0.0000 0.0000 0.6005
Au1 0.5000 0.5000 0.6984
Au2 0.5000 0.5000 0.3016
Au3 0.5000 0.5000 0.5000
Au4 0.5000 0.5000 0.1137
Au5 0.5000 0.5000 0.8863
Pb1 0.0000 0.0000 0.0000



# NaUAu4 | Alexandria | PBE | relaxed
# Energy of formation from the pure elements ... -0.079 eV per atom
# Density of states at the Fermi level ... 8.486 states/eV/cell
# SG ... F-43m
# Calculated density ... 13.8 g/cm3
data_NaUAu4
_cell_length_a 5.6340
_cell_length_b 5.6340
_cell_length_c 5.6340
_cell_angle_alpha 60.00
_cell_angle_beta 60.00
_cell_angle_gamma 60.00
_symmetry_space_group_name_H-M 'P 1'
_symmetry_Int_Tables_number 1
_symmetry_space_group_name_Hall 'P 1'
loop_
_atom_site_label
_atom_site_fract_x
_atom_site_fract_y
_atom_site_fract_z
Au1 0.6245 0.6245 0.1265
Au2 0.6245 0.6245 0.6245
Au3 0.1265 0.6245 0.6245
Au4 0.6245 0.1265 0.6245
U1 0.0000 0.0000 0.0000
Na1 0.2500 0.2500 0.2500



# Zn2AgHg | Alexandria | PBE | relaxed
# Energy of formation from the pure elements ... 0.089 eV per atom
# Density of states at the Fermi level ... 1.256 states/eV/cell
# SG ... P2/m
# Calculated density ... 9.8 g/cm3
data_Zn2AgHg
_cell_length_a 4.6211
_cell_length_b 3.1073
_cell_length_c 5.1808
_cell_angle_alpha 93.60
_cell_angle_beta 90.00
_cell_angle_gamma 90.00
_symmetry_space_group_name_H-M 'P 1'
_symmetry_Int_Tables_number 1
_symmetry_space_group_name_Hall 'P 1'
loop_
_atom_site_label
_atom_site_fract_x
_atom_site_fract_y
_atom_site_fract_z
Ag1 0.5000 0.2500 0.2500
Zn1 0.0000 0.9452 0.0222
Zn2 0.0000 0.5548 0.4778
Hg1 0.5000 0.7500 0.7500



# Zr2Al8Cu | Alexandria | PBE | relaxed
# Energy of formation from the pure elements ... -0.347 eV per atom
# Density of states at the Fermi level ... 4.423 states/eV/cell
# SG ... P4/mmm
# Calculated density ... 4.1 g/cm3
data_Zr2Al8Cu
_cell_length_a 4.1550
_cell_length_b 4.1550
_cell_length_c 10.8744
_cell_angle_alpha 90.00
_cell_angle_beta 90.00
_cell_angle_gamma 90.00
_symmetry_space_group_name_H-M 'P 1'
_symmetry_Int_Tables_number 1
_symmetry_space_group_name_Hall 'P 1'
loop_
_atom_site_label
_atom_site_fract_x
_atom_site_fract_y
_atom_site_fract_z
Zr1 0.0000 0.0000 0.6823
Zr2 0.0000 0.0000 0.3177
Al1 0.5000 0.0000 0.1263
Al2 0.5000 0.0000 0.8737
Al3 0.0000 0.5000 0.8737
Al4 0.5000 0.5000 0.6936
Al5 0.0000 0.5000 0.1263
Al6 0.5000 0.0000 0.5000
Al7 0.0000 0.5000 0.5000
Al8 0.5000 0.5000 0.3064
Cu1 0.0000 0.0000 0.0000



# EuYPtPb | Alexandria | PBE | relaxed
# Energy of formation from the pure elements ... -0.659 eV per atom
# Density of states at the Fermi level ... 12.337 states/eV/cell
# SG ... F-43m
# Calculated density ... 10.3 g/cm3
data_EuYPtPb
_cell_length_a 5.2715
_cell_length_b 5.2715
_cell_length_c 5.2715
_cell_angle_alpha 60.00
_cell_angle_beta 60.00
_cell_angle_gamma 60.00
_symmetry_space_group_name_H-M 'P 1'
_symmetry_Int_Tables_number 1
_symmetry_space_group_name_Hall 'P 1'
loop_
_atom_site_label
_atom_site_fract_x
_atom_site_fract_y
_atom_site_fract_z
Y1 0.5000 0.5000 0.5000
Eu1 0.0000 0.0000 0.0000
Pb1 0.2500 0.2500 0.2500
Pt1 0.7500 0.7500 0.7500



The lowest density of states at the Fermi level belongs to which entry? Zn2AgHg



Which of these has the lowest calculated density? Ca4BeRu



Which of these has the highest density of states at the Fermi level? DyMg2V3S8



Which value of calculated density does entry 10 give? 10.3 g/cm3